VASP calculation (GGA-PBE) on an optimized crystal structure of RbCoAgIr2.

ΔE_f: 2269 meV/atom
ρ: 7695 kg/m³
M_tot: 3.94 μB/f.u.
Total DFT energy (no corrections): -3.461 eV per atom

```
data_RbCoAgIr2
_cell_length_a 4.9715
_cell_length_b 4.9715
_cell_length_c 5.5589
_cell_angle_alpha 90.00
_cell_angle_beta 90.00
_cell_angle_gamma 90.00
_space_group_name_H-M_alt 'P 4/m m m'
_space_group_IT_number 123
_space_group_name_Hall '-P 4 2'
loop_
_atom_site_label
_atom_site_type_symbol
_atom_site_fract_x
_atom_site_fract_y
_atom_site_fract_z
Rb1 Rb 0.0000 0.0000 0.0000
Co1 Co 0.5000 0.5000 0.0000
Ag1 Ag 0.0000 0.0000 0.5000
Ir1 Ir 0.0000 0.5000 0.5000
```